[1]
78
Lattice="-8.4532 -0.2205 -4.5919 2.6704 -10.1275 2.2917 -7.1224 -4.5341 6.6079" Properties=species:S:1:pos:R:3 comment="GGA-PBE NaH6CSNO3, optimized geometry" energy_ev_per_cell=-414.24 dos_ef_per_ev_cell=0.00 spacegroup=R-3 mass_density_g_cm3=1.5 pbc="T T T"
Na -2.7920 -3.9132 3.3939
Na -5.2578 -6.3452 1.3287
Na -7.2874 -4.6873 -1.7360
Na -10.1131 -10.9690 0.9138
Na -7.6473 -8.5370 2.9790
Na -5.6177 -10.1949 6.0437
H -9.7511 -1.7524 -1.8042
H -5.5807 -6.4202 4.1853
H -5.6179 -6.9195 -2.4435
H -3.1540 -13.1298 6.1119
H -7.3244 -8.4620 0.1224
H -7.2872 -7.9627 6.7512
H -2.2867 -1.4784 1.5539
H -7.0518 -5.9669 3.8202
H 1.4574 -7.3058 1.6627
H -10.6184 -13.4038 2.7538
H -5.8533 -8.9153 0.4875
H -14.3625 -7.5763 2.6450
H -8.6278 -13.4584 3.7096
H -3.9033 -8.7168 1.5059
H -12.4955 -7.5688 3.8254
H -4.2773 -1.4238 0.5981
H -9.0018 -6.1654 2.8017
H -0.4096 -7.3134 0.4823
H -7.0719 -13.2008 3.8121
H -2.9123 -8.2316 2.6375
H -11.2956 -8.2138 4.6267
H -5.8332 -1.6814 0.4956
H -9.9928 -6.6505 1.6702
H -1.6095 -6.6684 -0.3191
H -3.3459 -4.1254 0.5975
H -7.3547 -4.4032 1.2694
H -0.9956 -6.3220 3.0976
H -9.5592 -10.7568 3.7102
H -5.5504 -10.4789 3.0383
H -11.9096 -8.5602 1.2101
H -4.5398 -3.4589 1.2891
H -7.9466 -5.7803 0.9507
H -1.0640 -5.6598 1.7174
H -8.3653 -11.4233 3.0186
H -4.9585 -9.1019 3.3570
H -11.8412 -9.2223 2.5903
C -12.8250 -5.3686 2.1827
C -3.6306 -8.9460 -1.1287
C -6.8151 -0.8381 -2.3772
C -0.0801 -9.5136 2.1250
C -9.2745 -5.9362 5.4364
C -6.0900 -14.0441 6.6848
S -12.1226 -6.2134 0.8530
S -3.7076 -7.2228 -1.1469
S -7.5376 -1.7189 -1.0820
S -0.7826 -8.6688 3.4547
S -9.1975 -7.6594 5.4546
S -5.3675 -13.1633 5.3896
N -10.1661 -14.1330 4.4393
N -4.1832 -9.6053 -0.0708
N -13.3620 -6.0756 3.2142
N -2.7390 -0.7491 -0.1316
N -8.7219 -5.2769 4.3785
N 0.4568 -8.8066 1.0935
O -10.6692 -1.9728 -2.0877
O -6.2839 -6.5062 3.4998
O -6.4921 -6.6781 -2.8300
O -2.2359 -12.9093 6.3954
O -6.6212 -8.3760 0.8079
O -6.4130 -8.2041 7.1377
O -7.8417 -13.1083 3.2010
O -3.8504 -8.1643 2.3374
O -12.1330 -8.4400 4.1554
O -5.0634 -1.7739 1.1067
O -9.0547 -6.7179 1.9703
O -0.7721 -6.4422 0.1523
O -4.0076 -4.3023 1.3080
O -7.2612 -5.1373 0.6163
O -1.0765 -5.4279 2.6875
O -8.8975 -10.5798 2.9996
O -5.6440 -9.7449 3.6914
O -11.8287 -9.4543 1.6202


[2]
5
Lattice="-0.1503 3.4442 0.9966 -2.6550 0.5635 -2.3477 -2.6938 -0.9343 2.8223" Properties=species:S:1:pos:R:3 comment="GGA-PBE NbH2CN, optimized geometry" energy_ev_per_cell=-26.95 dos_ef_per_ev_cell=2.23 spacegroup=P4/mmm mass_density_g_cm3=3.9 pbc="T T T"
H -1.3275 0.2817 -1.1738
H -0.0752 1.7221 0.4983
Nb 0.0000 0.0000 0.0000
C -2.7496 1.5367 0.7356
N -1.3469 -0.4671 1.4111


[3]
12
Lattice="-3.9032 0.4137 -3.7195 -1.2872 -0.1992 5.2483 2.0191 5.0289 -0.2453" Properties=species:S:1:pos:R:3 comment="GGA-PBE Nb6H3C2N, optimized geometry" energy_ev_per_cell=-103.70 dos_ef_per_ev_cell=5.20 spacegroup=C2/m mass_density_g_cm3=7.7 pbc="T T T"
Nb -2.8132 4.0568 -0.5264
Nb -3.4035 1.3874 1.0877
Nb -0.3581 1.1866 1.8099
Nb -1.9436 3.8530 2.4546
Nb 0.2322 3.8560 0.1958
Nb -1.2277 1.3903 -1.1712
H -0.7263 2.4204 3.5875
H -2.4450 2.8230 -2.3041
H -1.5856 2.6217 0.6417
C -2.1597 0.0052 2.2572
C -3.0307 0.2093 -0.7284
N 0.0000 0.0000 0.0000


[4]
12
Lattice="-2.6054 -0.3069 1.6074 3.3157 -1.7987 5.0312 0.8327 6.9672 -0.2646" Properties=species:S:1:pos:R:3 comment="GGA-PBE Nb6H3CN2, optimized geometry" energy_ev_per_cell=-103.67 dos_ef_per_ev_cell=4.93 spacegroup=C2/m mass_density_g_cm3=7.8 pbc="T T T"
Nb 2.7204 2.8993 4.9631
Nb 0.4882 1.0647 3.9392
Nb -1.1774 1.9623 1.4108
Nb 0.8241 -0.4256 1.2546
Nb 0.7188 5.2872 5.1193
Nb 1.0548 3.7969 2.4348
H 0.3552 -1.0528 3.3193
H -1.0677 4.1296 2.0025
H 2.6107 0.7320 4.3715
C -1.3027 -0.1535 0.8037
N 0.5883 3.1805 4.5055
N 0.9547 1.6811 1.8684